LiAlAs2Br PBE optimized geometry; SG = P4/mmm (123); offset from the most stable computed form = 0.383 eV/atom; theoretical density = 4.0 g cm⁻³; D(E_F) = 4.24 states/eV per cell; energy = -2.923 eV per atom; ΔE_f (raw) = 0.402 eV per atom; spin magnetization = 0.00 μB/f.u.
1.0
4.677 0.000 0.000
0.000 4.677 0.000
0.000 0.000 5.014
Li Al As Br
1 1 2 1
direct
0.000 0.000 0.000
0.500 0.500 0.500
0.000 0.500 0.000
0.500 0.000 0.000
0.000 0.000 0.500